Record 1
Below is crystalline Zn3Ru at its relaxed geometry, with properties calculated at the PBE-GGA level.

Summary:
Energy of formation = -0.4 eV per formula unit
Volume = 13.97 A^3/atom

a b c (Å): 4.282 5.261 4.960
angles (deg): 90.00 90.00 90.00
Sites, in units of the cell vectors:
Zn (0.250, 0.001, 0.155)
Zn (0.250, 0.499, 0.155)
Zn (0.250, 0.750, 0.657)
Zn (0.750, 0.250, 0.343)
Zn (0.750, 0.501, 0.845)
Zn (0.750, 0.999, 0.845)
Ru (0.250, 0.250, 0.647)
Ru (0.750, 0.750, 0.353)

Record 2
Below is crystalline ZnRu at its relaxed geometry, with properties calculated at the PBE-GGA level.

Summary:
Energy of formation = 0.5 eV per formula unit
Volume = 15.30 A^3/atom

a b c (Å): 7.410 7.410 4.460
angles (deg): 90.00 90.00 90.00
Sites, in units of the cell vectors:
Zn (0.075, 0.271, 0.000)
Zn (0.075, 0.729, 0.500)
Zn (0.271, 0.075, 0.500)
Zn (0.271, 0.925, 0.000)
Zn (0.729, 0.075, 0.000)
Zn (0.729, 0.925, 0.500)
Zn (0.925, 0.271, 0.500)
Zn (0.925, 0.729, 0.000)
Ru (0.252, 0.419, 0.500)
Ru (0.252, 0.581, 0.000)
Ru (0.419, 0.252, 0.000)
Ru (0.419, 0.748, 0.500)
Ru (0.581, 0.252, 0.500)
Ru (0.581, 0.748, 0.000)
Ru (0.748, 0.419, 0.000)
Ru (0.748, 0.581, 0.500)

Record 3
Below is crystalline Zn2Ru at its relaxed geometry, with properties calculated at the PBE-GGA level.

Summary:
Energy of formation = -0.1 eV per formula unit
Volume = 14.11 A^3/atom

a b c (Å): 5.103 5.103 6.329
angles (deg): 103.89 103.89 32.03
Sites, in units of the cell vectors:
Zn (0.000, 0.000, 0.000)
Zn (0.045, 0.045, 0.603)
Zn (0.387, 0.387, 0.275)
Zn (0.721, 0.721, 0.941)
Ru (0.324, 0.324, 0.662)
Ru (0.668, 0.668, 0.336)

Record 4
Below is crystalline Zn8Ru at its relaxed geometry, with properties calculated at the PBE-GGA level.

Summary:
Energy of formation = -0.1 eV per formula unit
Volume = 14.44 A^3/atom

a b c (Å): 6.185 6.185 6.185
angles (deg): 95.24 95.24 144.81
Sites, in units of the cell vectors:
Zn (0.000, 0.331, 0.331)
Zn (0.000, 0.669, 0.669)
Zn (0.331, 0.000, 0.331)
Zn (0.336, 0.336, 0.671)
Zn (0.336, 0.664, 0.000)
Zn (0.664, 0.336, 0.000)
Zn (0.664, 0.664, 0.329)
Zn (0.669, 0.000, 0.669)
Ru (0.000, 0.000, 0.000)

Record 5
Below is crystalline ZnRu at its relaxed geometry, with properties calculated at the PBE-GGA level.

Summary:
Energy of formation = 1.3 eV per formula unit
Volume = 17.22 A^3/atom

a b c (Å): 4.070 4.070 4.802
angles (deg): 90.00 90.00 120.00
Sites, in units of the cell vectors:
Zn (0.333, 0.667, 0.250)
Zn (0.667, 0.333, 0.750)
Ru (0.000, 0.000, 0.000)
Ru (0.000, 0.000, 0.500)

Record 6
Below is crystalline Zn2Ru at its relaxed geometry, with properties calculated at the PBE-GGA level.

Summary:
Energy of formation = 0.3 eV per formula unit
Volume = 13.72 A^3/atom

a b c (Å): 4.883 4.883 4.883
angles (deg): 60.00 60.00 60.00
Sites, in units of the cell vectors:
Zn (0.000, 0.000, 0.000)
Zn (0.000, 0.000, 0.500)
Zn (0.000, 0.500, 0.000)
Zn (0.500, 0.000, 0.000)
Ru (0.375, 0.375, 0.375)
Ru (0.625, 0.625, 0.625)

Record 7
Below is crystalline Zn2Ru at its relaxed geometry, with properties calculated at the PBE-GGA level.

Summary:
Energy of formation = 0.3 eV per formula unit
Volume = 14.93 A^3/atom

a b c (Å): 12.282 12.282 12.282
angles (deg): 167.30 167.30 18.00
Sites, in units of the cell vectors:
Zn (0.297, 0.547, 0.750)
Zn (0.453, 0.703, 0.750)
Zn (0.547, 0.297, 0.250)
Zn (0.703, 0.453, 0.250)
Ru (0.125, 0.875, 0.250)
Ru (0.875, 0.125, 0.750)

Record 8
Below is crystalline ZnRu4 at its relaxed geometry, with properties calculated at the PBE-GGA level.

Summary:
Energy of formation = 9.0 eV per formula unit
Volume = 17.09 A^3/atom

a b c (Å): 4.405 4.405 4.405
angles (deg): 90.00 90.00 90.00
Sites, in units of the cell vectors:
Zn (0.000, 0.000, 0.000)
Ru (0.000, 0.000, 0.500)
Ru (0.000, 0.500, 0.000)
Ru (0.500, 0.000, 0.000)
Ru (0.500, 0.500, 0.500)

Record 9
Below is crystalline ZnRu at its relaxed geometry, with properties calculated at the PBE-GGA level.

Summary:
Energy of formation = 3.2 eV per formula unit
Volume = 21.88 A^3/atom

a b c (Å): 3.956 3.956 3.956
angles (deg): 60.00 60.00 60.00
Sites, in units of the cell vectors:
Zn (0.000, 0.000, 0.000)
Ru (0.750, 0.750, 0.750)

Record 10
Below is crystalline ZnRu at its relaxed geometry, with properties calculated at the PBE-GGA level.

Summary:
Energy of formation = 3.3 eV per formula unit
Volume = 27.34 A^3/atom

a b c (Å): 6.897 6.897 6.897
angles (deg): 90.00 90.00 90.00
Sites, in units of the cell vectors:
Zn (0.000, 0.250, 0.500)
Zn (0.000, 0.750, 0.500)
Zn (0.250, 0.500, 0.000)
Zn (0.500, 0.000, 0.250)
Zn (0.500, 0.000, 0.750)
Zn (0.750, 0.500, 0.000)
Ru (0.000, 0.500, 0.250)
Ru (0.000, 0.500, 0.750)
Ru (0.250, 0.000, 0.500)
Ru (0.500, 0.250, 0.000)
Ru (0.500, 0.750, 0.000)
Ru (0.750, 0.000, 0.500)

Record 11
Below is crystalline ZnRu at its relaxed geometry, with properties calculated at the PBE-GGA level.

Summary:
Energy of formation = 0.2 eV per formula unit
Volume = 13.89 A^3/atom

a b c (Å): 5.056 5.056 5.056
angles (deg): 145.75 129.48 62.46
Sites, in units of the cell vectors:
Zn (0.377, 0.127, 0.250)
Zn (0.623, 0.873, 0.750)
Ru (0.124, 0.374, 0.750)
Ru (0.876, 0.626, 0.250)

Record 12
Below is crystalline ZnRu at its relaxed geometry, with properties calculated at the PBE-GGA level.

Summary:
Energy of formation = 0.1 eV per formula unit
Volume = 14.05 A^3/atom

a b c (Å): 4.609 4.609 4.627
angles (deg): 98.56 98.56 35.37
Sites, in units of the cell vectors:
Zn (0.122, 0.122, 0.390)
Zn (0.878, 0.878, 0.610)
Ru (0.371, 0.371, 0.104)
Ru (0.629, 0.629, 0.896)